Record 1
{
  "formula": "Ac3Al9Ni2",
  "functional": "PBE-GGA",
  "state": "relaxed",
  "formation_energy_mev_per_atom": -379,
  "n_ef_per_ev_fu": 9.02,
  "spacegroup": "Immm (71)",
  "cell": [[4.389, 0.000, 0.000], [2.194, 8.301, -0.381], [2.194, 1.510, 8.171]],
  "species": ["Ac", "Ac", "Ac", "Al", "Al", "Al", "Al", "Al", "Al", "Al", "Al", "Al", "Ni", "Ni"],
  "frac_coords": [[0.000, 0.000, 0.000], [0.692, 0.308, 0.308], [0.308, 0.692, 0.692], [0.000, 0.500, 0.500], [0.667, 0.997, 0.669], [0.333, 0.003, 0.331], [0.667, 0.669, 0.997], [0.333, 0.331, 0.003], [0.889, 0.824, 0.398], [0.111, 0.176, 0.602], [0.889, 0.398, 0.824], [0.111, 0.602, 0.176], [0.500, 0.283, 0.717], [0.500, 0.717, 0.283]]
}



Record 2
{
  "formula": "AcAl6Ni2",
  "functional": "PBE-GGA",
  "state": "relaxed",
  "formation_energy_mev_per_atom": -333,
  "n_ef_per_ev_fu": 3.85,
  "spacegroup": "C2/m (12)",
  "cell": [[-1.494, 0.698, -3.925], [-6.652, -0.213, 0.176], [-2.005, 6.334, -0.428]],
  "species": ["Ac", "Al", "Al", "Al", "Al", "Al", "Al", "Ni", "Ni"],
  "frac_coords": [[0.000, 0.000, 0.000], [0.218, 0.119, 0.444], [0.782, 0.881, 0.556], [0.782, 0.556, 0.881], [0.500, 0.674, 0.326], [0.500, 0.326, 0.674], [0.218, 0.444, 0.119], [0.296, 0.704, 0.704], [0.704, 0.296, 0.296]]
}



Record 3
{
  "formula": "AcAlNi",
  "functional": "PBE-GGA",
  "state": "relaxed",
  "formation_energy_mev_per_atom": -135,
  "n_ef_per_ev_fu": 3.58,
  "polymorph_energy_mev_per_atom": 328.5,
  "spacegroup": "I4mm (107)",
  "cell": [[-2.992, -1.110, -1.045], [1.076, -3.168, 0.286], [-0.902, 2.001, 5.852]],
  "species": ["Ni", "Ac", "Al"],
  "frac_coords": [[0.704, 0.704, 0.408], [0.009, 0.009, 0.017], [0.288, 0.288, 0.575]]
}



Record 4
{
  "formula": "Ac2AlNi9",
  "functional": "PBE-GGA",
  "state": "relaxed",
  "formation_energy_mev_per_atom": -78,
  "n_ef_per_ev_fu": 11.03,
  "spacegroup": "R-3m (166)",
  "cell": [[4.967, 0.000, 0.000], [2.483, 4.301, 0.000], [2.483, 1.434, 8.557]],
  "species": ["Ac", "Ac", "Al", "Ni", "Ni", "Ni", "Ni", "Ni", "Ni", "Ni", "Ni", "Ni"],
  "frac_coords": [[0.868, 0.868, 0.397], [0.132, 0.132, 0.603], [0.000, 0.000, 0.000], [0.667, 0.667, 0.998], [0.333, 0.333, 0.002], [0.500, 0.500, 0.500], [0.425, 0.425, 0.228], [0.923, 0.425, 0.228], [0.425, 0.923, 0.228], [0.575, 0.575, 0.772], [0.575, 0.077, 0.772], [0.077, 0.575, 0.772]]
}



Record 5
{
  "formula": "AcAlNi3",
  "functional": "PBE-GGA",
  "state": "relaxed",
  "formation_energy_mev_per_atom": -73,
  "n_ef_per_ev_fu": 3.64,
  "spacegroup": "Cmmm (65)",
  "cell": [[-1.864, -4.133, -0.536], [2.539, -0.488, -5.069], [5.733, -2.996, 3.161]],
  "species": ["Ac", "Ac", "Al", "Al", "Ni", "Ni", "Ni", "Ni", "Ni", "Ni"],
  "frac_coords": [[0.500, 0.000, 0.000], [0.500, 0.500, 0.500], [0.000, 0.500, 0.000], [0.000, 0.000, 0.500], [0.500, 0.500, 0.000], [0.500, 0.000, 0.500], [0.000, 0.750, 0.250], [0.000, 0.250, 0.250], [0.000, 0.250, 0.750], [0.000, 0.750, 0.750]]
}



Record 6
{
  "formula": "Ac2AlNi",
  "functional": "PBE-GGA",
  "state": "relaxed",
  "formation_energy_mev_per_atom": -193,
  "n_ef_per_ev_fu": 4.98,
  "spacegroup": "Cm (8)",
  "cell": [[-0.828, 3.451, 2.090], [0.628, -3.620, 2.169], [7.961, 1.750, 0.264]],
  "species": ["Ac", "Ac", "Al", "Ni"],
  "frac_coords": [[0.121, 0.243, 0.072], [0.793, 0.586, 0.644], [0.456, 0.911, 0.358], [0.130, 0.261, 0.426]]
}